First-principles (PBE) data for crystalline LaZr4S8 at its relaxed geometry, as listed in Alexandria.

```
13
Lattice="6.644 0.000 3.030 2.631 6.100 3.030 0.342 0.225 8.049" Properties=species:S:1:pos:R:3 pbc="T T T"
La 4.808 3.163 7.054
S 5.797 1.596 4.886
S 5.856 1.634 9.223
S 3.819 4.730 9.223
S 2.500 1.644 3.317
S 7.117 4.681 10.792
S 2.484 1.634 7.685
S 7.132 4.691 6.423
S 3.761 4.691 4.886
Zr 3.322 0.000 1.515
Zr 4.637 3.050 3.030
Zr 0.000 0.000 0.000
Zr 1.315 3.050 1.515
```

Properties
ΔE_f (raw) ... -1.710 eV per atom
Total moment ... 0.00 μB/cell
SG ... R-3m, No. 166
V ... 317 Å³/cell



First-principles (PBE) data for crystalline La2ZrS5 at its relaxed geometry, as listed in Alexandria.

```
16
Lattice="-2.836 4.430 0.731 -4.398 -5.614 -2.337 -2.203 -3.469 12.478" Properties=species:S:1:pos:R:3 pbc="T T T"
La -2.918 -2.942 6.508
La -5.712 -0.440 -0.206
La -6.519 -1.711 4.365
La -3.724 -4.212 11.078
S -5.099 -1.222 6.912
S -5.807 -2.337 10.921
S -4.832 -4.460 8.281
S -8.583 -3.885 9.529
S -0.853 -0.768 1.343
S -3.630 -2.316 -0.048
S -8.026 -3.007 6.371
S -4.337 -3.431 3.960
S -1.411 -1.646 4.502
S -4.604 -0.192 2.592
Zr -6.758 -2.542 8.474
Zr -2.679 -2.111 2.398
```

Properties
ΔE_f (raw) ... -1.860 eV per atom
Total moment ... 0.00 μB/cell
ΔE to the lowest computed polymorph ... 126.5 meV per atom
SG ... Cmcm, No. 63
V ... 490 Å³/cell



First-principles (PBE) data for crystalline LaZr3S at its relaxed geometry, as listed in Alexandria.

```
5
Lattice="5.137 0.000 0.000 0.000 5.137 0.000 0.000 0.000 5.137" Properties=species:S:1:pos:R:3 pbc="T T T"
Zr 2.568 0.000 0.000
Zr 0.000 2.568 0.000
Zr 0.000 0.000 2.568
S 2.568 2.568 2.568
La 0.000 0.000 0.000
```

Properties
ΔE_f (raw) ... 1.358 eV per atom
Total moment ... 0.00 μB/cell
ΔE to the lowest computed polymorph ... 1816.3 meV per atom
SG ... Pm-3m, No. 221
V ... 136 Å³/cell



First-principles (PBE) data for crystalline LaZrS at its relaxed geometry, as listed in Alexandria.

```
6
Lattice="-0.569 -3.983 3.042 3.607 -0.134 0.500 -2.228 7.085 4.679" Properties=species:S:1:pos:R:3 pbc="T T T"
S 1.588 1.467 2.218
S -0.777 1.502 6.004
La 1.337 3.246 4.502
La -0.526 -0.278 3.720
Zr 1.662 -1.058 1.007
Zr 1.376 -3.058 2.535
```

Properties
ΔE_f (raw) ... -0.835 eV per atom
Total moment ... 0.15 μB/cell
SG ... Immm, No. 71
V ... 151 Å³/cell



First-principles (PBE) data for crystalline La5Zr2S12 at its relaxed geometry, as listed in Alexandria.

```
19
Lattice="-2.504 -5.892 3.498 8.471 1.742 1.391 -4.615 5.400 5.792" Properties=species:S:1:pos:R:3 pbc="T T T"
S -2.144 -1.855 2.948
S -0.026 2.718 8.228
S 2.441 0.012 5.560
S -3.711 4.373 4.709
S -1.089 1.239 5.120
S 3.495 3.105 7.732
S 1.377 -1.468 2.452
S 0.170 -4.309 4.139
S 1.181 5.560 6.542
S 5.063 -3.122 5.971
S 3.689 2.950 3.815
S -2.338 -1.699 6.865
La -2.397 1.107 7.756
La 3.748 0.144 2.925
La -2.308 2.700 2.896
La 1.346 2.757 5.607
La 0.005 -1.507 5.073
Zr -0.628 -1.477 0.877
Zr -1.876 -4.415 2.621
```

Properties
ΔE_f (raw) ... -1.891 eV per atom
Total moment ... 0.00 μB/cell
SG ... C2/m, No. 12
V ... 509 Å³/cell



First-principles (PBE) data for crystalline La4Sb5 at its relaxed geometry, as listed in Alexandria.

```
18
Lattice="9.902 0.000 0.000 -4.951 8.575 0.000 0.000 0.000 6.501" Properties=species:S:1:pos:R:3 pbc="T T T"
Sb -3.564 6.172 1.625
Sb -1.387 2.403 4.876
Sb 2.774 0.000 4.876
Sb 3.564 6.172 4.876
Sb 7.127 0.000 1.625
Sb 4.951 2.858 3.251
Sb 0.000 5.717 0.000
Sb 4.951 2.858 0.000
Sb 0.000 5.717 3.251
Sb 1.387 2.403 1.625
La -3.052 5.287 4.876
La -1.899 3.288 1.625
La 1.899 3.288 4.876
La 6.104 0.000 4.876
La 0.000 0.000 0.000
La 3.052 5.287 1.625
La 3.797 0.000 1.625
La 0.000 0.000 3.251
```

Properties
ΔE_f (raw) ... -1.049 eV per atom
Total moment ... 0.00 μB/cell
SG ... P6_3/mcm, No. 193
V ... 552 Å³/cell



First-principles (PBE) data for crystalline La4Sb at its relaxed geometry, as listed in Alexandria.

```
5
Lattice="-2.703 -5.221 2.514 2.848 3.365 4.631 -4.493 3.593 -2.790" Properties=species:S:1:pos:R:3 pbc="T T T"
La -2.246 1.796 -1.395
La 1.424 1.683 2.315
La -2.174 0.869 2.177
La -1.352 -2.610 1.257
Sb 0.000 0.000 0.000
```

Properties
ΔE_f (raw) ... -0.099 eV per atom
Total moment ... 0.57 μB/cell
ΔE to the lowest computed polymorph ... 0.0 meV per atom
SG ... Im-3m, No. 229
V ... 201 Å³/cell



First-principles (PBE) data for crystalline La3Sb at its relaxed geometry, as listed in Alexandria.

```
32
Lattice="-4.830 -0.346 -4.204 5.765 -10.236 -5.783 -6.398 -8.135 8.021" Properties=species:S:1:pos:R:3 pbc="T T T"
Sb -2.918 -11.871 -2.725
Sb -5.277 -16.204 -0.222
Sb -2.880 -2.706 -4.087
Sb -4.682 -6.999 -1.099
Sb 3.144 -11.503 -4.830
Sb -5.913 -7.021 5.209
Sb -3.216 -10.472 1.830
Sb -0.110 -8.091 -1.935
La -0.687 -1.767 -1.732
La -8.846 -7.532 3.670
La -4.296 -4.175 0.644
La -2.579 -16.792 1.679
La -5.502 -7.916 2.033
La -0.009 -10.804 -4.040
La -5.113 -10.307 -0.835
La -2.449 -13.205 3.646
La 0.126 -14.285 0.982
La -1.787 -9.136 -6.928
La -0.785 -10.937 -0.423
La -2.984 -8.598 -3.422
La -2.249 -12.824 -5.887
La -1.925 -5.269 -2.197
La -7.792 -6.221 -0.062
La -6.168 -11.618 2.897
La -2.044 -7.591 0.750
La 1.187 -11.342 -7.546
La -0.915 -14.524 -2.390
La 1.565 -5.184 -1.627
La -3.490 -13.444 0.274
La -8.458 -9.923 0.802
La -0.807 -4.089 1.215
La 0.453 -7.116 -5.081
```

Properties
ΔE_f (raw) ... -0.663 eV per atom
Total moment ... 0.00 μB/cell
ΔE to the lowest computed polymorph ... 0.0 meV per atom
SG ... P4_2/n, No. 86
V ... 1099 Å³/cell



First-principles (PBE) data for crystalline La5Sb3 at its relaxed geometry, as listed in Alexandria.

```
8
Lattice="4.352 -5.673 0.000 4.352 5.673 0.000 0.000 0.000 5.165" Properties=species:S:1:pos:R:3 pbc="T T T"
La 2.176 2.836 0.000
La 0.000 0.000 0.000
La 2.176 -2.836 0.000
La 2.467 0.000 2.582
La 6.237 0.000 2.582
Sb 4.352 3.377 2.582
Sb 4.352 -3.377 2.582
Sb 4.352 0.000 0.000
```

Properties
ΔE_f (raw) ... -0.894 eV per atom
Total moment ... 0.09 μB/cell
ΔE to the lowest computed polymorph ... 118.7 meV per atom
SG ... Cmmm, No. 65
V ... 255 Å³/cell



First-principles (PBE) data for crystalline LaSb5 at its relaxed geometry, as listed in Alexandria.

```
6
Lattice="-4.687 3.352 -2.849 0.746 0.300 6.378 3.212 4.011 -0.564" Properties=species:S:1:pos:R:3 pbc="T T T"
Sb -2.876 2.335 0.226
Sb -0.365 3.832 1.482
Sb -1.065 1.318 3.302
Sb -0.738 3.681 -1.707
Sb 1.979 2.156 2.907
La 0.000 0.000 0.000
```

Properties
ΔE_f (raw) ... -0.053 eV per atom
Total moment ... 0.00 μB/cell
ΔE to the lowest computed polymorph ... 265.4 meV per atom
SG ... P6/mmm, No. 191
V ... 185 Å³/cell



First-principles (PBE) data for crystalline La3Sb at its relaxed geometry, as listed in Alexandria.

```
8
Lattice="10.806 0.001 0.000 8.536 6.626 0.000 -9.671 -3.314 3.502" Properties=species:S:1:pos:R:3 pbc="T T T"
La 0.568 -1.656 1.751
La -0.568 1.656 1.751
La 16.939 5.804 0.000
La 4.268 3.313 1.751
La 2.403 0.823 0.000
La 5.403 0.000 1.751
Sb 12.065 4.134 0.000
Sb 7.276 2.493 0.000
```

Properties
ΔE_f (raw) ... -0.592 eV per atom
Total moment ... 0.00 μB/cell
ΔE to the lowest computed polymorph ... 70.9 meV per atom
SG ... I4/mmm, No. 139
V ... 251 Å³/cell



First-principles (PBE) data for crystalline La3Sb at its relaxed geometry, as listed in Alexandria.

```
8
Lattice="3.569 -6.182 0.000 3.569 6.182 0.000 0.000 0.000 5.713" Properties=species:S:1:pos:R:3 pbc="T T T"
La 3.569 3.999 4.285
La 5.248 1.091 4.285
La 1.890 -1.091 1.428
La 3.569 -3.999 1.428
La 5.248 -1.091 1.428
La 1.890 1.091 4.285
Sb 3.569 -2.061 4.285
Sb 3.569 2.061 1.428
```

Properties
ΔE_f (raw) ... -0.560 eV per atom
Total moment ... 0.00 μB/cell
ΔE to the lowest computed polymorph ... 102.8 meV per atom
SG ... P6_3/mmc, No. 194
V ... 252 Å³/cell



First-principles (PBE) data for crystalline La5Sb2 at its relaxed geometry, as listed in Alexandria.

```
14
Lattice="-1.971 4.085 4.511 -8.050 -0.046 -3.476 -0.386 -8.577 3.063" Properties=species:S:1:pos:R:3 pbc="T T T"
Sb -1.579 -0.012 2.289
Sb -8.828 -4.525 1.808
Sb -6.285 1.376 2.110
Sb -4.122 -5.914 1.987
La -6.697 1.332 -1.098
La -4.377 -0.707 3.906
La -4.042 -0.579 0.141
La -6.030 -3.831 0.192
La -8.123 -1.308 1.529
La -0.970 -6.775 2.559
La -3.324 2.707 2.133
La -6.365 -3.959 3.957
La -9.437 2.238 1.538
La -2.284 -3.229 2.568
```

Properties
ΔE_f (raw) ... -0.703 eV per atom
Total moment ... 0.00 μB/cell
SG ... C2/c, No. 15
V ... 477 Å³/cell



First-principles (PBE) data for crystalline La7Sb6 at its relaxed geometry, as listed in Alexandria.

```
13
Lattice="11.494 0.134 0.083 9.200 6.892 0.083 9.200 3.124 6.144" Properties=species:S:1:pos:R:3 pbc="T T T"
La 17.270 7.771 2.705
La 18.431 4.351 2.705
La 14.947 5.075 3.155
La 12.624 4.286 0.538
La 11.462 5.799 3.606
La 17.270 5.864 5.772
La 12.624 2.379 3.606
Sb 24.637 8.365 5.201
Sb 19.926 6.765 4.207
Sb 5.257 1.785 1.110
Sb 9.968 3.384 2.104
Sb 2.541 0.863 0.537
Sb 27.352 9.287 5.774
```

Properties
ΔE_f (raw) ... -0.478 eV per atom
Total moment ... 2.20 μB/cell
SG ... R-3m, No. 166
V ... 473 Å³/cell



First-principles (PBE) data for crystalline La3Sb at its relaxed geometry, as listed in Alexandria.

```
4
Lattice="-1.317 -3.083 -5.360 -0.977 -5.804 -2.310 -5.570 -0.572 0.111" Properties=species:S:1:pos:R:3 pbc="T T T"
La -1.826 -2.594 -2.109
La -3.932 -4.730 -3.779
La -6.038 -6.866 -5.449
Sb 0.000 0.000 0.000
```

Properties
ΔE_f (raw) ... -0.521 eV per atom
Total moment ... 0.00 μB/cell
ΔE to the lowest computed polymorph ... 142.1 meV per atom
SG ... C2/m, No. 12
V ... 133 Å³/cell



First-principles (PBE) data for crystalline LaSb5 at its relaxed geometry, as listed in Alexandria.

```
6
Lattice="-3.151 -1.654 5.347 0.757 -0.359 6.368 -2.460 6.216 1.533" Properties=species:S:1:pos:R:3 pbc="T T T"
Sb -1.751 1.762 4.469
Sb -2.842 5.018 4.518
Sb -3.695 1.501 12.240
Sb -2.149 -0.023 8.255
Sb -3.243 3.248 8.294
La -2.466 -1.608 11.477
```

Properties
ΔE_f (raw) ... -0.307 eV per atom
Total moment ... 0.00 μB/cell
ΔE to the lowest computed polymorph ... 11.4 meV per atom
SG ... Cm, No. 8
V ... 175 Å³/cell



First-principles (PBE) data for crystalline La3Sb at its relaxed geometry, as listed in Alexandria.

```
4
Lattice="-4.291 -0.941 -2.390 -0.596 -4.161 2.709 -2.498 2.610 3.459" Properties=species:S:1:pos:R:3 pbc="T T T"
Sb -3.603 1.052 0.823
La -2.652 -2.333 0.448
La -0.208 0.218 0.289
La -1.755 -0.559 3.372
```

Properties
ΔE_f (raw) ... -0.630 eV per atom
Total moment ... 0.00 μB/cell
ΔE to the lowest computed polymorph ... 32.5 meV per atom
SG ... Pm-3m, No. 221
V ... 125 Å³/cell



First-principles (PBE) data for crystalline La3Sb at its relaxed geometry, as listed in Alexandria.

```
4
Lattice="-1.319 -3.941 -0.831 2.475 -1.483 3.104 -5.515 0.835 4.796" Properties=species:S:1:pos:R:3 pbc="T T T"
La -3.558 -2.086 4.734
La -2.556 0.387 2.223
La -0.201 0.030 0.175
Sb -0.801 -2.503 2.336
```

Properties
ΔE_f (raw) ... -0.564 eV per atom
Total moment ... 0.01 μB/cell
ΔE to the lowest computed polymorph ... 99.0 meV per atom
SG ... P4/mmm, No. 123
V ... 132 Å³/cell



First-principles (PBE) data for crystalline La3Sb at its relaxed geometry, as listed in Alexandria.

```
4
Lattice="-2.701 -3.033 1.126 4.039 -0.946 -0.747 2.157 1.639 9.591" Properties=species:S:1:pos:R:3 pbc="T T T"
La 1.169 0.889 5.198
La 0.085 -1.928 2.899
La 2.067 1.571 9.188
Sb 1.164 -1.108 7.695
```

Properties
ΔE_f (raw) ... -0.364 eV per atom
Total moment ... 0.00 μB/cell
ΔE to the lowest computed polymorph ... 298.6 meV per atom
SG ... P-6m2, No. 187
V ... 153 Å³/cell



First-principles (PBE) data for crystalline LaSb5 at its relaxed geometry, as listed in Alexandria.

```
6
Lattice="2.934 -5.082 0.000 2.934 5.082 0.000 0.000 0.000 5.751" Properties=species:S:1:pos:R:3 pbc="T T T"
Sb 1.822 0.000 0.000
Sb 2.023 -3.504 0.000
Sb 2.934 -1.694 2.875
Sb 2.934 1.694 2.875
Sb 2.023 3.504 0.000
La 0.000 0.000 2.875
```

Properties
ΔE_f (raw) ... -0.224 eV per atom
Total moment ... 0.00 μB/cell
ΔE to the lowest computed polymorph ... 93.8 meV per atom
SG ... P-62m, No. 189
V ... 171 Å³/cell